First-principles (PBE) data for a relaxed Th11In9Co4 crystal, as listed in Alexandria via LeMat-Bulk.

The structure belongs to space group Cmmm (No. 65); the cell edges are 14.835, 22.367 and 3.734 Å and the angles 90.00°, 90.00° and 90.00°. The distinct sites, in fractional coordinates, are Th at (0.000, 0.000, 0.000), Th at (0.000, 0.153, 0.000), Th at (0.000, 0.375, 0.000), Th at (0.184, 0.500, 0.000), Th at (0.248, 0.332, 0.000), In at (0.000, 0.500, 0.500), In at (0.102, 0.259, 0.500), In at (0.151, 0.069, 0.500) and Co at (0.155, 0.401, 0.500).

The value obtained for the total energy is -5.95 eV/atom. The calculation puts the size of the total moment at 0.00 μB/f.u.